No. 1
# BaSrHgSb

An optimized crystal structure of BaSrHgSb (PBE, Alexandria).

## Properties
- Formation energy (no corrections): -764 meV per atom

abc: 5.8471 5.8471 5.8471
angles: 60.00 60.00 60.00
Fractional positions:
Ba (0.5000, 0.5000, 0.5000)
Sb (0.7500, 0.7500, 0.7500)
Hg (0.2500, 0.2500, 0.2500)
Sr (0.0000, 0.0000, 0.0000)

No. 2
# In2FeAu

An optimized crystal structure of In2FeAu (PBE, Alexandria).

## Properties
- Energy of formation from the pure elements: 0.337 eV/atom
- Energy above the most stable polymorph in this dataset: 246.9 meV per atom

abc: 4.7974 4.7974 4.7974
angles: 60.00 60.00 60.00
Fractional positions:
Au (0.5000, 0.5000, 0.5000)
In (0.0000, 0.0000, 0.0000)
In (0.2500, 0.2500, 0.2500)
Fe (0.7500, 0.7500, 0.7500)

No. 3
# CdAuS2O8

An optimized crystal structure of CdAuS2O8 (PBE, Alexandria).

## Properties
- Formation energy (no corrections): -882 meV per atom

abc: 4.9190 4.9190 7.7132
angles: 71.41 71.41 60.00
Fractional positions:
O (0.9647, 0.5400, 0.2896)
O (0.6718, 0.6718, 0.9846)
O (0.2056, 0.9647, 0.2896)
O (0.4600, 0.0353, 0.7104)
S (0.2591, 0.2591, 0.2227)
O (0.5400, 0.2056, 0.2896)
O (0.3282, 0.3282, 0.0154)
O (0.7944, 0.4600, 0.7104)
Au (0.5000, 0.5000, 0.5000)
S (0.7409, 0.7409, 0.7773)
O (0.0353, 0.7944, 0.7104)
Cd (0.0000, 0.0000, 0.0000)

No. 4
# Ac3La3Zn2Ga

An optimized crystal structure of Ac3La3Zn2Ga (PBE, Alexandria).

## Properties
- Energy of formation from the pure elements: -0.229 eV/atom

abc: 4.8450 8.3377 8.3377
angles: 120.00 90.00 90.00
Fractional positions:
Zn (0.5000, 0.6667, 0.3333)
Ac (0.0000, 0.0000, 0.3984)
Ga (0.0000, 0.0000, 0.0000)
La (0.5000, 0.0000, 0.7300)
Ac (0.0000, 0.3984, 0.0000)
Ac (0.0000, 0.6016, 0.6016)
La (0.5000, 0.2700, 0.2700)
La (0.5000, 0.7300, 0.0000)
Zn (0.5000, 0.3333, 0.6667)

No. 5
# CuAs2P

An optimized crystal structure of CuAs2P (PBE, Alexandria).

## Properties
- Energy of formation from the pure elements: 0.466 eV/atom

abc: 2.7452 4.9603 4.8437
angles: 90.00 90.00 90.00
Fractional positions:
As (0.5000, 0.5000, 0.0000)
P (0.0000, 0.5000, 0.5000)
Cu (0.5000, 0.0000, 0.5000)
As (0.0000, 0.0000, 0.0000)

No. 6
# HfBi2Te

An optimized crystal structure of HfBi2Te (PBE, Alexandria).

## Properties
- Formation energy (no corrections): 533 meV per atom

abc: 6.7206 6.7206 8.8025
angles: 67.56 67.56 90.00
Fractional positions:
Bi (0.6637, 0.1250, 0.2500)
Hf (0.7500, 0.2500, 0.5000)
Bi (0.8750, 0.9137, 0.7500)
Te (0.2500, 0.7500, 0.5000)
Hf (0.0000, 0.0000, 0.0000)
Bi (0.0863, 0.6250, 0.2500)
Bi (0.3750, 0.3363, 0.7500)
Te (0.5000, 0.5000, 0.0000)

Uncorrected energy (eV per cell)
-11.083; -15.868; -62.697; -34.742; -16.940; -37.447
Spin magnetization (μB per formula unit)
0.00; 2.69; 1.06; 0.00; 0.00; 0.00